Run a
Compound: KNaI
Source: Alexandria via LeMat-Bulk
Functional: PBE
Structure: optimized geometry

Properties
* spin magnetization: 0.53 μB per formula unit
* space-group type: No. 156

Cell: 5.305 5.532 5.532 Å, 120.00 90.00 90.00°
Atoms (fractional coordinates):
I (0.166, 0.333, 0.667)
Na (0.167, 0.000, 0.000)
K (0.667, 0.667, 0.333)

***

Run b
Compound: KNaI
Source: Alexandria via LeMat-Bulk
Functional: PBE
Structure: optimized geometry

Properties
* spin magnetization: 0.00 μB per formula unit
* space-group type: No. 107

Cell: 4.195 4.195 8.122 Å, 104.97 104.97 90.00°
Atoms (fractional coordinates):
I (0.674, 0.674, 0.347)
Na (0.297, 0.297, 0.594)
K (0.029, 0.029, 0.058)

***

Winner for stability: run b

***

Run a
Compound: KNaI2
Source: Alexandria via LeMat-Bulk
Functional: PBE
Structure: optimized geometry

Properties
* spin magnetization: 0.00 μB per formula unit
* space-group type: No. 160

Cell: 4.736 4.736 8.702 Å, 74.21 74.21 60.00°
Atoms (fractional coordinates):
K (0.499, 0.499, 0.503)
Na (0.668, 0.668, 0.997)
I (0.074, 0.074, 0.777)
I (0.259, 0.259, 0.223)

***

Run b
Compound: KNaI2
Source: Alexandria via LeMat-Bulk
Functional: PBE
Structure: optimized geometry

Properties
* spin magnetization: 0.00 μB per formula unit
* space-group type: No. 62

Cell: 5.074 6.912 20.195 Å, 90.00 90.00 90.00°
Atoms (fractional coordinates):
K (0.750, 0.249, 0.560)
K (0.250, 0.751, 0.440)
K (0.750, 0.749, 0.940)
K (0.250, 0.251, 0.060)
Na (0.750, 0.752, 0.172)
Na (0.750, 0.252, 0.328)
Na (0.250, 0.248, 0.828)
Na (0.250, 0.748, 0.672)
I (0.750, 0.749, 0.572)
I (0.250, 0.251, 0.428)
I (0.750, 0.249, 0.928)
I (0.250, 0.751, 0.072)
I (0.250, 0.249, 0.676)
I (0.750, 0.251, 0.176)
I (0.250, 0.749, 0.824)
I (0.750, 0.751, 0.324)

***

Winner for stability: run a

***

Run a
Compound: KNaI2
Source: Alexandria via LeMat-Bulk
Functional: PBE
Structure: optimized geometry

Properties
* spin magnetization: 0.00 μB per formula unit
* space-group type: No. 225

Cell: 5.946 5.946 5.946 Å, 60.00 60.00 60.00°
Atoms (fractional coordinates):
I (0.250, 0.250, 0.250)
I (0.750, 0.750, 0.750)
Na (0.000, 0.000, 0.000)
K (0.500, 0.500, 0.500)

***

Run b
Compound: KNaI2
Source: Alexandria via LeMat-Bulk
Functional: PBE
Structure: optimized geometry

Properties
* spin magnetization: 0.00 μB per formula unit
* space-group type: No. 122

Cell: 8.573 8.573 7.871 Å, 57.00 57.00 90.00°
Atoms (fractional coordinates):
I (0.591, 0.125, 0.250)
I (0.159, 0.625, 0.250)
I (0.375, 0.409, 0.750)
I (0.875, 0.841, 0.750)
Na (0.500, 0.500, 0.000)
Na (0.250, 0.750, 0.500)
K (0.000, 0.000, 0.000)
K (0.750, 0.250, 0.500)

***

Run c
Compound: KNaI2
Source: Alexandria via LeMat-Bulk
Functional: PBE
Structure: optimized geometry

Properties
* spin magnetization: 0.00 μB per formula unit
* space-group type: No. 166

Cell: 4.809 4.809 8.456 Å, 73.48 73.48 60.00°
Atoms (fractional coordinates):
I (0.242, 0.242, 0.275)
I (0.758, 0.758, 0.725)
Na (0.500, 0.500, 0.500)
K (0.000, 0.000, 0.000)

***

Winner for stability: run c

***

Run a
Compound: K2NaI2
Source: Alexandria via LeMat-Bulk
Functional: PBE
Structure: optimized geometry

Properties
* spin magnetization: 0.69 μB per formula unit
* space-group type: No. 139

Cell: 6.661 6.661 8.180 Å, 65.97 65.97 90.00°
Atoms (fractional coordinates):
I (0.750, 0.250, 0.500)
I (0.250, 0.750, 0.500)
Na (0.000, 0.000, 0.000)
K (0.317, 0.317, 0.367)
K (0.683, 0.683, 0.633)

***

Run b
Compound: K2NaI2
Source: Alexandria via LeMat-Bulk
Functional: PBE
Structure: optimized geometry

Properties
* spin magnetization: 0.75 μB per formula unit
* space-group type: No. 127

Cell: 9.579 9.579 4.687 Å, 90.00 90.00 90.00°
Atoms (fractional coordinates):
I (0.344, 0.844, 0.000)
I (0.844, 0.656, 0.000)
I (0.656, 0.156, 0.000)
I (0.156, 0.344, 0.000)
Na (0.000, 0.000, 0.000)
Na (0.500, 0.500, 0.000)
K (0.150, 0.650, 0.500)
K (0.650, 0.850, 0.500)
K (0.850, 0.350, 0.500)
K (0.350, 0.150, 0.500)

***

Run c
Compound: K2NaI2
Source: Alexandria via LeMat-Bulk
Functional: PBE
Structure: optimized geometry

Properties
* spin magnetization: 0.00 μB per formula unit
* space-group type: No. 127

Cell: 10.175 10.175 4.274 Å, 90.00 90.00 90.00°
Atoms (fractional coordinates):
I (0.154, 0.654, 0.500)
I (0.654, 0.846, 0.500)
I (0.846, 0.346, 0.500)
I (0.346, 0.154, 0.500)
Na (0.000, 0.000, 0.000)
Na (0.500, 0.500, 0.000)
K (0.358, 0.858, 0.000)
K (0.858, 0.642, 0.000)
K (0.642, 0.142, 0.000)
K (0.142, 0.358, 0.000)

***

Winner for stability: run b

***

Run a
Compound: KNa3I
Source: Alexandria via LeMat-Bulk
Functional: PBE
Structure: optimized geometry

Properties
* spin magnetization: 0.00 μB per formula unit
* space-group type: No. 221

Cell: 6.671 6.671 6.671 Å, 90.00 90.00 90.00°
Atoms (fractional coordinates):
I (0.500, 0.500, 0.500)
Na (0.000, 0.500, 0.000)
Na (0.000, 0.000, 0.500)
Na (0.500, 0.000, 0.000)
K (0.000, 0.000, 0.000)

***

Run b
Compound: KNa3I
Source: Alexandria via LeMat-Bulk
Functional: PBE
Structure: optimized geometry

Properties
* spin magnetization: 0.00 μB per formula unit
* space-group type: No. 221

Cell: 6.352 6.352 6.352 Å, 90.00 90.00 90.00°
Atoms (fractional coordinates):
I (0.000, 0.000, 0.000)
Na (0.000, 0.500, 0.000)
Na (0.000, 0.000, 0.500)
Na (0.500, 0.000, 0.000)
K (0.500, 0.500, 0.500)

***

Winner for stability: run b

***

Run a
Compound: KNaIO2
Source: Alexandria via LeMat-Bulk
Functional: PBE
Structure: optimized geometry

Properties
* spin magnetization: 3.00 μB per formula unit
* space-group type: No. 123

Cell: 4.842 4.842 6.170 Å, 90.00 90.00 90.00°
Atoms (fractional coordinates):
I (0.000, 0.000, 0.500)
Na (0.000, 0.000, 0.000)
K (0.500, 0.500, 0.500)
O (0.000, 0.500, 0.000)
O (0.500, 0.000, 0.000)

***

Run b
Compound: KNaIO2
Source: Alexandria via LeMat-Bulk
Functional: PBE
Structure: optimized geometry

Properties
* spin magnetization: 3.00 μB per formula unit
* space-group type: No. 123

Cell: 5.133 7.021 5.133 Å, 90.00 90.00 90.00°
Atoms (fractional coordinates):
I (0.000, 0.500, 0.000)
Na (0.500, 0.500, 0.500)
K (0.000, 0.000, 0.000)
O (0.000, 0.000, 0.500)
O (0.500, 0.000, 0.000)

***

Winner for stability: run a

***

Run a
Compound: KNaSb2I
Source: Alexandria via LeMat-Bulk
Functional: PBE
Structure: optimized geometry

Properties
* spin magnetization: 2.80 μB per formula unit
* space-group type: No. 123

Cell: 6.246 6.246 6.557 Å, 90.00 90.00 90.00°
Atoms (fractional coordinates):
I (0.000, 0.000, 0.500)
Sb (0.000, 0.500, 0.000)
Sb (0.500, 0.000, 0.000)
K (0.000, 0.000, 0.000)
Na (0.500, 0.500, 0.500)

***

Run b
Compound: KNaSb2I
Source: Alexandria via LeMat-Bulk
Functional: PBE
Structure: optimized geometry

Properties
* spin magnetization: 1.92 μB per formula unit
* space-group type: No. 123

Cell: 5.616 5.616 6.478 Å, 90.00 90.00 90.00°
Atoms (fractional coordinates):
I (0.000, 0.000, 0.500)
Sb (0.000, 0.500, 0.000)
Sb (0.500, 0.000, 0.000)
K (0.500, 0.500, 0.500)
Na (0.000, 0.000, 0.000)

***

Winner for stability: run b

***

Run a
Compound: KNb2I
Source: Alexandria via LeMat-Bulk
Functional: PBE
Structure: optimized geometry

Properties
* spin magnetization: 0.00 μB per formula unit
* space-group type: No. 141

Cell: 4.883 4.883 11.247 Å, 77.46 77.46 90.00°
Atoms (fractional coordinates):
I (0.000, 0.000, 0.000)
I (0.750, 0.250, 0.500)
Nb (0.875, 0.125, 0.250)
Nb (0.875, 0.625, 0.250)
Nb (0.375, 0.125, 0.750)
Nb (0.875, 0.125, 0.750)
K (0.500, 0.500, 0.000)
K (0.250, 0.750, 0.500)

***

Run b
Compound: KNb2I
Source: Alexandria via LeMat-Bulk
Functional: PBE
Structure: optimized geometry

Properties
* spin magnetization: 3.83 μB per formula unit
* space-group type: No. 225

Cell: 5.051 5.051 5.051 Å, 60.00 60.00 60.00°
Atoms (fractional coordinates):
I (0.500, 0.500, 0.500)
Nb (0.250, 0.250, 0.250)
Nb (0.750, 0.750, 0.750)
K (0.000, 0.000, 0.000)

***

Winner for stability: run a